(1)
The following is a DFT calculation (GGA-PBE) of a relaxed structure of RbMn2AgBr6.

Calculated values
The electronic total energy is -163.579 eV/cell. The calculation puts the theoretical density at 3.36 g/cm3. The calculation puts the magnetization at 40.0 μB/cell.

Cell: 14.5175 14.3541 7.9415 Å, 90.00 110.73 90.00°
Last column: nearest neighbours and their distance in Å.
Space group C2/c (No. 15)
Asymmetric unit:
Rb  0.0000  0.1228  0.2500  6 Br 3.41-3.52
Mn  0.1923  0.4274  0.1903  4 Br 2.49-2.57
Ag  0.0000  0.2278  0.7500  4 Br 2.63-2.93
Br  0.1243  0.0791  0.6947  1 Mn 2.49
Br  0.1264  0.2706  0.0700  1 Mn 2.50, 1 Ag 2.63
Br  0.1335  0.4444  0.4580  2 Mn 2.53-2.57

=====

(2)
The following is a DFT calculation (GGA-PBE) of a relaxed structure of Zr2SiNi.

Calculated values
The electronic total energy is -115.601 eV/cell. The calculation puts the theoretical density at 6.06 g/cm3. The calculation puts the magnetization at 0.0 μB/cell.

Cell: 7.1616 7.1616 5.7493 Å, 90.00 90.00 90.00°
Last column: nearest neighbours and their distance in Å.
Space group I-42d (No. 122)
Asymmetric unit:
Zr  0.2333  0.2500  0.1250  2 Ni 2.55, 2 Si 2.71
Si  0.0000  0.0000  0.5000  4 Zr 2.71, 2 Ni 2.87
Ni  0.0000  0.0000  0.0000  4 Zr 2.55

=====

(3)
The following is a DFT calculation (GGA-PBE) of a relaxed structure of Ag2HgOs.

Calculated values
As for the energy of formation: 0.560 eV/atom. The calculation puts the theoretical density at 14.22 g/cm3. The calculation puts the magnetization at 0.3 μB/cell.

Cell: 2.9017 4.8691 10.0229 Å, 90.00 90.00 90.00°
Last column: nearest neighbours and their distance in Å.
Space group Cmm2 (No. 35)
Asymmetric unit:
Ag  0.0000  0.0000  0.0000  8 Ag 2.83-2.90, 2 Hg 3.00
Ag  0.0000  0.5000  0.2453  2 Os 2.81, 8 Ag 2.83-2.90
Hg  0.0000  0.5000  0.7380  6 Hg 2.83-2.90, 2 Os 2.92, 2 Ag 3.00
Os  0.0000  0.0000  0.4850  2 Ag 2.81, 6 Os 2.83-2.90, 2 Hg 2.92

=====

no.,DOS(E_F) (states/eV/atom)
1,0.000
2,1.001
3,0.686